Computed, not measured: a relaxed structure of NaSr2HoS4 at the PBE level of DFT.

abc: 7.1010 4.1374 7.1664
angles: 90.00 108.64 90.00
Fractional positions:
Na 0.0000 0.0000 0.0000
Sr 0.5000 0.0000 0.5000
Sr 0.5000 0.5000 0.0000
Ho 0.0000 0.5000 0.5000
S 0.2277 0.0000 0.7332
S 0.2363 0.5000 0.2621
S 0.7637 0.5000 0.7379
S 0.7723 0.0000 0.2668

Properties
Energy = -5.1637 eV per atom
Space group = P2/m (10)
Crystal system = monoclinic
Total magnetic moment = 0.0 μB/f.u.
Uncorrected formation energy = -1.942 eV/atom

Computed, not measured: a relaxed structure of NaSr4Ho3S8 at the PBE level of DFT.

abc: 8.2034 8.2034 8.2034
angles: 59.57 59.57 59.57
Fractional positions:
Na 0.0000 0.0000 0.0000
Sr 0.0000 0.0000 0.5000
Sr 0.0000 0.5000 0.0000
Sr 0.5000 0.0000 0.0000
Sr 0.5000 0.5000 0.5000
Ho 0.0000 0.5000 0.5000
Ho 0.5000 0.0000 0.5000
Ho 0.5000 0.5000 0.0000
S 0.2470 0.2470 0.7342
S 0.2470 0.7342 0.2470
S 0.2577 0.2577 0.2577
S 0.2658 0.7530 0.7530
S 0.7342 0.2470 0.2470
S 0.7423 0.7423 0.7423
S 0.7530 0.2658 0.7530
S 0.7530 0.7530 0.2658

Properties
Energy = -5.4255 eV per atom
Space group = R-3m (166)
Crystal system = trigonal
Total magnetic moment = 0.0 μB/f.u.
Uncorrected formation energy = -2.001 eV/atom

Computed, not measured: a relaxed structure of NaSrHo2S4 at the PBE level of DFT.

abc: 6.8689 3.9850 7.1510
angles: 90.00 108.73 90.00
Fractional positions:
Na 0.0000 0.0000 0.0000
Sr 0.5000 0.5000 0.0000
Ho 0.0000 0.5000 0.5000
Ho 0.5000 0.0000 0.5000
S 0.2397 0.0000 0.7284
S 0.2560 0.5000 0.2732
S 0.7440 0.5000 0.7268
S 0.7603 0.0000 0.2716

Properties
Energy = -5.5292 eV per atom
Space group = P2/m (10)
Crystal system = monoclinic
Total magnetic moment = 0.0 μB/f.u.
Uncorrected formation energy = -1.946 eV/atom